1.
This record from the Alexandria database describes a relaxed structure of Nd4MgZn. The functional is GGA-PBE.

The total energy comes out at -20.8 eV per cell. Its calculated formation energy is 187 meV/atom.

The space group is P4/mmm (No. 123) and the conventional cell measures 5.008, 5.008 and 8.126 Å, with angles of 90.00, 90.00 and 90.00 degrees. Symmetry generates all atoms from Nd at (0.000, 0.500, 0.223), Mg at (0.000, 0.000, 0.500) and Zn at (0.500, 0.500, 0.000).

---

2.
This record from the Alexandria database describes a relaxed structure of Nd2Mg3Zn4. The functional is GGA-PBE.

The total energy comes out at -84.5 eV per cell. Its calculated formation energy is -190 meV/atom.

The space group is Cmce (No. 64) and the conventional cell measures 6.083, 16.908 and 7.724 Å, with angles of 90.00, 90.00 and 90.00 degrees. Symmetry generates all atoms from Nd at (0.000, 0.098, 0.101), Mg at (0.000, 0.000, 0.500), Mg at (0.250, 0.235, 0.750), Zn at (0.000, 0.163, 0.487) and Zn at (0.250, 0.071, 0.750).

---

3.
This record from the Alexandria database describes a relaxed structure of Nd5MgZn3. The functional is GGA-PBE.

The total energy comes out at -61.3 eV per cell. Its calculated formation energy is -153 meV/atom.

The space group is P6_3/mcm (No. 193) and the conventional cell measures 9.1326, 9.1326 and 6.7697 Å, with angles of 90.00, 90.00 and 120.00 degrees. Symmetry generates all atoms from Nd at (0.0000, 0.3141, 0.2500), Nd at (0.3333, 0.6667, 0.0000), Mg at (0.0000, 0.0000, 0.0000) and Zn at (0.0000, 0.3457, 0.7500).

---

4.
This record from the Alexandria database describes a relaxed structure of Nd3MgZn. The functional is GGA-PBE.

The total energy comes out at -71.4 eV per cell. Its calculated formation energy is -134 meV/atom.

The space group is Cmcm (No. 63) and the conventional cell measures 5.353, 20.201 and 5.340 Å, with angles of 90.00, 90.00 and 90.00 degrees. Symmetry generates all atoms from Nd at (0.000, 0.064, 0.250), Nd at (0.000, 0.250, 0.250), Nd at (0.000, 0.434, 0.250), Mg at (0.000, 0.157, 0.750) and Zn at (0.000, 0.341, 0.750).

---

5.
This record from the Alexandria database describes a relaxed structure of Nd2Mg3Zn. The functional is GGA-PBE.

The total energy comes out at -16.4 eV per cell. Its calculated formation energy is -134 meV/atom.

The space group is Pmm2 (No. 25) and the conventional cell measures 3.397, 5.131 and 8.869 Å, with angles of 90.00, 90.00 and 90.00 degrees. Symmetry generates all atoms from Nd at (0.000, 0.000, 0.000), Nd at (0.000, 0.500, 0.469), Mg at (0.500, 0.000, 0.645), Mg at (0.500, 0.500, 0.152), Mg at (0.500, 0.500, 0.814) and Zn at (0.500, 0.000, 0.319).

---

6.
This record from the Alexandria database describes a relaxed structure of NdMgZr. The functional is GGA-PBE.

The total energy comes out at -29.5 eV per cell. For the relative energy among the computed polymorphs, the calculation gives 0 meV/atom. Its calculated formation energy is 55 meV/atom.

The space group is I4mm (No. 107) and the conventional cell measures 3.392, 3.392 and 13.953 Å, with angles of 90.00, 90.00 and 90.00 degrees. Symmetry generates all atoms from Nd at (0.000, 0.000, 0.000), Mg at (0.000, 0.000, 0.682) and Zr at (0.000, 0.000, 0.330).

---

7.
This record from the Alexandria database describes a relaxed structure of NdMgZr2. The functional is GGA-PBE.

The total energy comes out at -22.9 eV per cell. For the relative energy among the computed polymorphs, the calculation gives 0 meV/atom. Its calculated formation energy is 128 meV/atom.

The space group is P4/mmm (No. 123) and the conventional cell measures 4.626, 4.626 and 4.694 Å, with angles of 90.00, 90.00 and 90.00 degrees. Symmetry generates all atoms from Nd at (0.000, 0.000, 0.000), Mg at (0.500, 0.500, 0.000) and Zr at (0.000, 0.500, 0.500).

---

8.
This record from the Alexandria database describes a relaxed structure of NdMgZr2. The functional is GGA-PBE.

The total energy comes out at -22.9 eV per cell. For the relative energy among the computed polymorphs, the calculation gives 19 meV/atom. Its calculated formation energy is 147 meV/atom.

The space group is P4/mmm (No. 123) and the conventional cell measures 3.290, 3.290 and 9.277 Å, with angles of 90.00, 90.00 and 90.00 degrees. Symmetry generates all atoms from Nd at (0.000, 0.000, 0.000), Mg at (0.000, 0.000, 0.500) and Zr at (0.500, 0.500, 0.269).

---

9.
This record from the Alexandria database describes a relaxed structure of NdMgZr. The functional is GGA-PBE.

The total energy comes out at -14.3 eV per cell. For the relative energy among the computed polymorphs, the calculation gives 134 meV/atom. Its calculated formation energy is 189 meV/atom.

The space group is P3m1 (No. 156) and the conventional cell measures 5.3626, 5.3626 and 3.2005 Å, with angles of 90.00, 90.00 and 120.00 degrees. Symmetry generates all atoms from Nd at (0.0000, 0.0000, 0.0000), Mg at (0.6667, 0.3333, 0.3881) and Zr at (0.3333, 0.6667, 0.5423).

---

10.
This record from the Alexandria database describes a relaxed structure of Mg5Ni. The functional is GGA-PBE.

The total energy comes out at -14.1 eV per cell. For the relative energy among the computed polymorphs, the calculation gives 3 meV/atom. Its calculated formation energy is -51 meV/atom.

The space group is P4/mmm (No. 123) and the conventional cell measures 3.223, 3.223 and 11.318 Å, with angles of 90.00, 90.00 and 90.00 degrees. Symmetry generates all atoms from Mg at (0.000, 0.000, 0.000), Mg at (0.000, 0.000, 0.375), Mg at (0.500, 0.500, 0.188) and Ni at (0.500, 0.500, 0.500).

---

11.
This record from the Alexandria database describes a relaxed structure of Mg5Ni. The functional is GGA-PBE.

The total energy comes out at -27.3 eV per cell. For the relative energy among the computed polymorphs, the calculation gives 72 meV/atom. Its calculated formation energy is 18 meV/atom.

The space group is Amm2 (No. 38) and the conventional cell measures 4.820, 3.052 and 16.050 Å, with angles of 90.00, 90.00 and 90.00 degrees. Symmetry generates all atoms from Mg at (0.000, 0.000, 0.000), Mg at (0.000, 0.000, 0.289), Mg at (0.500, 0.000, 0.098), Mg at (0.500, 0.000, 0.420), Mg at (0.500, 0.000, 0.749) and Ni at (0.000, 0.000, 0.647).

---

12.
This record from the Alexandria database describes a relaxed structure of MgNi3. The functional is GGA-PBE.

The total energy comes out at -76.0 eV per cell. Its calculated formation energy is -15 meV/atom.

The space group is Fm-3m (No. 225) and the conventional cell measures 5.797, 5.797 and 5.797 Å, with angles of 90.00, 90.00 and 90.00 degrees. Symmetry generates all atoms from Mg at (0.000, 0.000, 0.000), Ni at (0.000, 0.000, 0.500) and Ni at (0.250, 0.250, 0.250).

---

13.
This record from the Alexandria database describes a relaxed structure of Mg5Ni2. The functional is GGA-PBE.

The total energy comes out at -80.9 eV per cell. Its calculated formation energy is -98 meV/atom.

The space group is C2/c (No. 15) and the conventional cell measures 13.751, 5.238 and 7.117 Å, with angles of 90.00, 97.81 and 90.00 degrees. Symmetry generates all atoms from Mg at (0.000, 0.149, 0.250), Mg at (0.093, 0.353, 0.926), Mg at (0.222, 0.108, 0.325) and Ni at (0.102, 0.167, 0.580).

---

14.
This record from the Alexandria database describes a relaxed structure of Mg6Ni5. The functional is GGA-PBE.

The total energy comes out at -79.5 eV per cell. Its calculated formation energy is -114 meV/atom.

The space group is Immm (No. 71) and the conventional cell measures 4.336, 5.994 and 13.007 Å, with angles of 90.00, 90.00 and 90.00 degrees. Symmetry generates all atoms from Mg at (0.000, 0.242, 0.000), Mg at (0.000, 0.255, 0.336), Ni at (0.000, 0.000, 0.174), Ni at (0.000, 0.000, 0.500) and Ni at (0.000, 0.500, 0.163).

---

15.
This record from the Alexandria database describes a relaxed structure of Mg7Ni. The functional is GGA-PBE.

The total energy comes out at -16.8 eV per cell. For the relative energy among the computed polymorphs, the calculation gives 0 meV/atom. Its calculated formation energy is 17 meV/atom.

The space group is P-6m2 (No. 187) and the conventional cell measures 6.1876, 6.1876 and 4.8570 Å, with angles of 90.00, 90.00 and 120.00 degrees. Symmetry generates all atoms from Mg at (0.0000, 0.0000, 0.0000), Mg at (0.0175, 0.5088, 0.0000), Mg at (0.3334, 0.1667, 0.5000) and Ni at (0.3333, 0.6667, 0.5000).

---

16.
This record from the Alexandria database describes a relaxed structure of Mg2Ni. The functional is GGA-PBE.

The total energy comes out at -17.4 eV per cell. Its calculated formation energy is 83 meV/atom.

The space group is Pnnm (No. 58) and the conventional cell measures 6.462, 6.517 and 2.859 Å, with angles of 90.00, 90.00 and 90.00 degrees. Symmetry generates all atoms from Mg at (0.238, 0.224, 0.000) and Ni at (0.000, 0.000, 0.500).

---

17.
This record from the Alexandria database describes a relaxed structure of MgNi3. The functional is GGA-PBE.

The total energy comes out at -38.3 eV per cell. Its calculated formation energy is -49 meV/atom.

The space group is I4/mmm (No. 139) and the conventional cell measures 3.696, 3.696 and 7.135 Å, with angles of 90.00, 90.00 and 90.00 degrees. Symmetry generates all atoms from Mg at (0.000, 0.000, 0.000), Ni at (0.000, 0.000, 0.500) and Ni at (0.000, 0.500, 0.250).

---

18.
This record from the Alexandria database describes a relaxed structure of Mg4Ni. The functional is GGA-PBE.

The total energy comes out at -50.3 eV per cell. Its calculated formation energy is -84 meV/atom.

The space group is Ibam (No. 72) and the conventional cell measures 6.082, 12.506 and 5.227 Å, with angles of 90.00, 90.00 and 90.00 degrees. Symmetry generates all atoms from Mg at (0.149, 0.173, 0.000), Mg at (0.171, 0.419, 0.000) and Ni at (0.000, 0.000, 0.250).

---

19.
This record from the Alexandria database describes a relaxed structure of MgNi3. The functional is GGA-PBE.

The total energy comes out at -76.5 eV per cell. Its calculated formation energy is -50 meV/atom.

The space group is Pnma (No. 62) and the conventional cell measures 4.621, 8.304 and 5.103 Å, with angles of 90.00, 90.00 and 90.00 degrees. Symmetry generates all atoms from Mg at (0.064, 0.250, 0.100), Ni at (0.079, 0.250, 0.614) and Ni at (0.219, 0.506, 0.356).

---

20.
This record from the Alexandria database describes a relaxed structure of Mg4Ni3. The functional is GGA-PBE.

The total energy comes out at -24.2 eV per cell. For the relative energy among the computed polymorphs, the calculation gives 9 meV/atom. Its calculated formation energy is -64 meV/atom.

The space group is P6/mmm (No. 191) and the conventional cell measures 4.9720, 4.9720 and 5.0851 Å, with angles of 90.00, 90.00 and 120.00 degrees. Symmetry generates all atoms from Mg at (0.0000, 0.0000, 0.2423), Mg at (0.3333, 0.6667, 0.5000) and Ni at (0.0000, 0.5000, 0.0000).

---

21.
This record from the Alexandria database describes a relaxed structure of Mg7Ni. The functional is GGA-PBE.

The total energy comes out at -66.2 eV per cell. For the relative energy among the computed polymorphs, the calculation gives 33 meV/atom. Its calculated formation energy is 51 meV/atom.

The space group is Fm-3m (No. 225) and the conventional cell measures 8.652, 8.652 and 8.652 Å, with angles of 90.00, 90.00 and 90.00 degrees. Symmetry generates all atoms from Mg at (0.000, 0.000, 0.000), Mg at (0.000, 0.250, 0.250) and Ni at (0.000, 0.000, 0.500).

---

22.
This record from the Alexandria database describes a relaxed structure of Mg2Ni. The functional is GGA-PBE.

The total energy comes out at -9.0 eV per cell. Its calculated formation energy is -19 meV/atom.

The space group is P-3m1 (No. 164) and the conventional cell measures 4.4235, 4.4235 and 2.8956 Å, with angles of 90.00, 90.00 and 120.00 degrees. Symmetry generates all atoms from Mg at (0.3333, 0.6667, 0.2060) and Ni at (0.0000, 0.0000, 0.5000).

---

23.
This record from the Alexandria database describes a relaxed structure of Mg2Ni. The functional is GGA-PBE.

The total energy comes out at -60.3 eV per cell. Its calculated formation energy is 480 meV/atom.

The space group is Fd-3m (No. 227, origin choice 2) and the conventional cell measures 7.577, 7.577 and 7.577 Å, with angles of 90.00, 90.00 and 90.00 degrees. Symmetry generates all atoms from Mg at (0.000, 0.000, 0.000) and Ni at (0.125, 0.125, 0.625).

---

24.
This record from the Alexandria database describes a relaxed structure of Mg4Ni. The functional is GGA-PBE.

The total energy comes out at -25.2 eV per cell. Its calculated formation energy is -86 meV/atom.

The space group is I4/m (No. 87) and the conventional cell measures 7.707, 7.707 and 3.189 Å, with angles of 90.00, 90.00 and 90.00 degrees. Symmetry generates all atoms from Mg at (0.076, 0.267, 0.000) and Ni at (0.000, 0.000, 0.500).

---

25.
This record from the Alexandria database describes a relaxed structure of Mg5Ni. The functional is GGA-PBE.

The total energy comes out at -28.2 eV per cell. For the relative energy among the computed polymorphs, the calculation gives 0 meV/atom. Its calculated formation energy is -54 meV/atom.

The space group is C2/m (No. 12) and the conventional cell measures 10.717, 3.207 and 7.310 Å, with angles of 90.00, 110.58 and 90.00 degrees. Symmetry generates all atoms from Mg at (0.000, 0.000, 0.000), Mg at (0.139, 0.500, 0.363), Mg at (0.164, 0.500, 0.792) and Ni at (0.000, 0.000, 0.500).